A plane-wave DFT calculation with PBE was carried out for a relaxed structure of RhAuS2.

## Properties
Raw formation energy = -0.21 eV per atom
Calculated total energy = -0.181 hartree per atom

Cell: 5.9654 3.5600 7.4462 Å, 90.00 66.36 89.98°
Closest atoms and distances in Å follow each position.
Sites, in units of the cell vectors:
Au1 0.3042 0.6822 0.6939  4 S 2.42
Au2 0.8042 0.6822 0.6939  2 S 2.41
S1 0.4237 0.1822 0.4546  2 Rh 2.32, 2 Au 2.42
S2 0.9805 0.6822 0.3410  1 Au 2.41, 4 Rh 2.53
S3 0.1846 0.1822 0.9332  2 Rh 2.32, 2 Au 2.42
S4 0.6278 0.6822 0.0468  1 Au 2.41, 4 Rh 2.53
Rh1 0.3041 0.1822 0.1939  6 S 2.32-2.53
Rh2 0.8041 0.1822 0.1939  6 S 2.32-2.53

A plane-wave DFT calculation with PBE was carried out for a relaxed structure of Rh4BrCl.

## Properties
Raw formation energy = 0.87 eV per atom
Calculated total energy = -0.170 hartree per atom

Cell: 5.3171 5.3171 5.3171 Å, 60.00 60.00 60.00°
Closest atoms and distances in Å follow each position.
Sites, in units of the cell vectors:
Rh1 0.8742 0.3753 0.3753  6 Rh 2.65-2.66
Rh2 0.3753 0.3753 0.8742  6 Rh 2.65-2.66
Rh3 0.3753 0.8742 0.3753  6 Rh 2.65-2.66
Rh4 0.3753 0.3753 0.3753  6 Rh 2.65-2.66
Br1 0.7500 0.7500 0.7500  12 Rh 3.12, 4 Cl 3.26
Cl1 0.0000 0.0000 0.0000  12 Rh 3.12, 4 Br 3.26

A plane-wave DFT calculation with PBE was carried out for a relaxed structure of Tb5HoSe6.

## Properties
Raw formation energy = -1.77 eV per atom
Calculated total energy = -0.214 hartree per atom

Cell: 7.0669 7.0791 7.0948 Å, 60.07 80.36 70.38°
Closest atoms and distances in Å follow each position.
Sites, in units of the cell vectors:
Tb1 0.5000 0.1685 0.6630  6 Se 2.89-2.90
Tb2 0.0000 0.3328 0.3344  6 Se 2.89-2.90
Tb3 0.5000 0.5000 0.0000  6 Se 2.89-2.91
Tb4 0.0000 0.6672 0.6656  6 Se 2.89-2.90
Tb5 0.5000 0.8315 0.3370  6 Se 2.89-2.90
Ho1 0.0000 0.0000 0.0000  6 Se 2.87
Se1 0.7516 0.0830 0.3305  1 Ho 2.87, 5 Tb 2.89-2.90
Se2 0.2484 0.5866 0.3305  1 Ho 2.87, 5 Tb 2.89-2.90
Se3 0.2494 0.2477 0.0000  1 Ho 2.87, 5 Tb 2.90-2.91
Se4 0.7506 0.7523 0.0000  1 Ho 2.87, 5 Tb 2.90-2.91
Se5 0.7516 0.4134 0.6695  1 Ho 2.87, 5 Tb 2.89-2.90
Se6 0.2484 0.9170 0.6695  1 Ho 2.87, 5 Tb 2.89-2.90

A plane-wave DFT calculation with PBE was carried out for a relaxed structure of NbZn5Ag4.

## Properties
ΔE_f = -0.05 eV per atom
Calculated total energy = -0.104 hartree per atom

Cell: 2.8887 2.8887 19.4321 Å, 90.00 90.00 90.00°
Closest atoms and distances in Å follow each position.
Sites, in units of the cell vectors:
Nb1 0.0000 0.0000 0.0000  8 Zn 2.84, 4 Nb 2.89
Zn1 0.5000 0.5000 0.1013  4 Ag 2.80, 4 Nb 2.84, 4 Zn 2.89
Zn2 0.5000 0.5000 0.2994  8 Ag 2.81-2.83, 4 Zn 2.89
Zn3 0.5000 0.5000 0.5000  8 Ag 2.82, 4 Zn 2.89
Zn4 0.5000 0.5000 0.7006  8 Ag 2.81-2.83, 4 Zn 2.89
Zn5 0.5000 0.5000 0.8987  4 Ag 2.80, 4 Nb 2.84, 4 Zn 2.89
Ag1 0.0000 0.0000 0.2002  8 Zn 2.80-2.81, 4 Ag 2.89
Ag2 0.0000 0.0000 0.4000  8 Zn 2.82-2.83, 4 Ag 2.89
Ag3 0.0000 0.0000 0.6000  8 Zn 2.82-2.83, 4 Ag 2.89
Ag4 0.0000 0.0000 0.7998  8 Zn 2.80-2.81, 4 Ag 2.89

A plane-wave DFT calculation with PBE was carried out for a relaxed structure of LuGaTe2.

## Properties
Raw formation energy = -0.89 eV per atom
Calculated total energy = -0.160 hartree per atom

Cell: 4.3191 4.3191 8.0027 Å, 74.34 74.34 60.00°
Closest atoms and distances in Å follow each position.
Sites, in units of the cell vectors:
Lu1 0.5000 0.5000 0.5000  6 Te 3.05
Te1 0.2437 0.2437 0.2689  3 Lu 3.05, 3 Ga 3.22
Te2 0.7563 0.7563 0.7311  3 Lu 3.05, 3 Ga 3.22
Ga1 0.0000 0.0000 0.0000  6 Te 3.22